Model a:
{"formula": "AcLaYAg", "functional": "PBE", "state": "relaxed", "cell": [[0.0000, 4.0098, 4.0098], [4.0098, 0.0000, 4.0098], [4.0098, 4.0098, 0.0000]], "species": ["Ac", "La", "Y", "Ag"], "fractional_positions": [[0.0000, 0.0000, 0.0000], [0.7500, 0.7500, 0.7500], [0.2500, 0.2500, 0.2500], [0.5000, 0.5000, 0.5000]], "crystal_system": "cubic", "rho_g_cm3": 7.246, "dos_at_fermi_per_ev_cell": 7.8}



Model b:
{"formula": "AcLaYAg", "functional": "PBE", "state": "relaxed", "cell": [[3.7823, 0.0000, 0.0000], [0.0000, 3.7823, 0.0000], [0.0000, 0.0000, 9.0806]], "species": ["Ac", "La", "Y", "Ag"], "fractional_positions": [[0.0000, 0.0000, 0.0000], [0.5000, 0.5000, 0.6948], [0.5000, 0.5000, 0.2929], [0.0000, 0.0000, 0.4726]], "crystal_system": "tetragonal", "rho_g_cm3": 7.193, "dos_at_fermi_per_ev_cell": 5.3}



Which one sits at the bottom of the stability order? model a does.



Model a:
{"formula": "LiAc2Ag5", "functional": "PBE", "state": "relaxed", "cell": [[2.3857, -8.6222, 0.0000], [2.3857, 8.6222, 0.0000], [0.0000, 0.0000, 9.8149]], "species": ["Li", "Li", "Ac", "Ac", "Ac", "Ac", "Ag", "Ag", "Ag", "Ag", "Ag", "Ag", "Ag", "Ag", "Ag", "Ag"], "fractional_positions": [[0.0593, 0.9407, 0.7500], [0.9407, 0.0593, 0.2500], [0.2876, 0.7124, 0.2500], [0.5000, 0.5000, 0.0000], [0.5000, 0.5000, 0.5000], [0.7124, 0.2876, 0.7500], [0.0917, 0.9083, 0.2500], [0.1473, 0.8527, 0.5313], [0.1473, 0.8527, 0.9687], [0.3192, 0.6808, 0.6066], [0.3192, 0.6808, 0.8934], [0.6808, 0.3192, 0.1066], [0.6808, 0.3192, 0.3934], [0.8527, 0.1473, 0.0313], [0.8527, 0.1473, 0.4687], [0.9083, 0.0917, 0.7500]], "crystal_system": "orthorhombic", "rho_g_cm3": 8.227, "dos_at_fermi_per_ev_cell": 9.0}



Model b:
{"formula": "LiAc2Ag5", "functional": "PBE", "state": "relaxed", "cell": [[-3.4109, 3.4109, 4.5883], [3.4109, -3.4109, 4.5883], [3.4109, 3.4109, -4.5883]], "species": ["Li", "Ac", "Ac", "Ag", "Ag", "Ag", "Ag", "Ag"], "fractional_positions": [[0.0000, 0.0000, 0.0000], [0.2668, 0.7668, 0.5000], [0.7668, 0.2668, 0.5000], [0.2909, 0.2909, 0.0000], [0.3083, 0.3083, 0.5746], [0.3083, 0.7337, 0.0000], [0.7337, 0.3083, 0.0000], [0.7337, 0.7337, 0.4254]], "crystal_system": "tetragonal", "rho_g_cm3": 7.779, "dos_at_fermi_per_ev_cell": 4.5}



Which one sits at the bottom of the stability order? model b does.